Here is a geometry-optimized MgMnNi2O structure from Alexandria. Energies are from PBE with a Hubbard U.

The space group is P4/mmm (No. 123) and the conventional cell measures 3.950, 3.950 and 4.162 Å, with angles of 90.00, 90.00 and 90.00 degrees. The inequivalent atoms are Mg at (0.000, 0.000, 0.000), Mn at (0.500, 0.500, 0.000), Ni at (0.000, 0.500, 0.500) and O at (0.500, 0.500, 0.500).

The calculation puts the final energy at -3.62 eV per atom. Its density of states at the Fermi level is 2.8 states/eV/f.u.